The following is a PBE calculation of a relaxed structure of GaFe2BiS, from Alexandria.

a = 4.6897 Å, b = 4.6897 Å, c = 4.7288 Å
α = 90.00°, β = 90.00°, γ = 90.00°
Closest atoms and distances in Å follow each position.
Space group P4/mmm (No. 123)
Symmetry-distinct sites (fractional):
1 Ga 0.0000 0.0000 0.0000 (multiplicity 1)  4 Fe 2.34, 2 S 2.36
2 Fe 0.0000 0.5000 0.0000 (multiplicity 2)  2 Ga 2.34
3 Bi 0.5000 0.5000 0.5000 (multiplicity 1)  4 S 3.32, 8 Fe 3.33
4 S 0.0000 0.0000 0.5000 (multiplicity 1)  2 Ga 2.36

Uncorrected energy ... -23.53 eV/cell
D(E_F) ... 7.44 states/eV/f.u.
ΔE_f (raw) ... 4.426 eV per formula unit



The following is a PBE calculation of a relaxed structure of GaFeBi2S, from Alexandria.

a = 5.6206 Å, b = 5.6206 Å, c = 4.0054 Å
α = 90.00°, β = 90.00°, γ = 90.00°
Closest atoms and distances in Å follow each position.
Space group P4/mmm (No. 123)
Symmetry-distinct sites (fractional):
1 Ga 0.0000 0.0000 0.0000 (multiplicity 1)  8 Bi 3.45
2 Fe 0.5000 0.5000 0.0000 (multiplicity 1)  2 S 2.00
3 Bi 0.0000 0.5000 0.5000 (multiplicity 2)  2 S 2.81
4 S 0.5000 0.5000 0.5000 (multiplicity 1)  2 Fe 2.00

Uncorrected energy ... -21.08 eV/cell
D(E_F) ... 6.07 states/eV/f.u.
ΔE_f (raw) ... 2.297 eV per formula unit



The following is a PBE calculation of a relaxed structure of TlGaFeBi2, from Alexandria.

a = 5.4241 Å, b = 5.4241 Å, c = 5.1616 Å
α = 90.00°, β = 90.00°, γ = 90.00°
Closest atoms and distances in Å follow each position.
Space group P4/mmm (No. 123)
Symmetry-distinct sites (fractional):
1 Tl 0.0000 0.0000 0.0000 (multiplicity 1)  2 Ga 2.58
2 Ga 0.0000 0.0000 0.5000 (multiplicity 1)  2 Tl 2.58, 4 Bi 2.71
3 Fe 0.5000 0.5000 0.0000 (multiplicity 1)  8 Bi 3.74, 4 Tl 3.84
4 Bi 0.0000 0.5000 0.5000 (multiplicity 2)  2 Ga 2.71

Uncorrected energy ... -16.72 eV/cell
D(E_F) ... 8.13 states/eV/f.u.
Energy of formation from the pure elements ... 0.98 eV/atom